Material: Mn2MoHPd
Method: DFT, GGA-PBE
State: relaxed

Cell and atoms, written as POSCAR:
```
Mn2MoHPd
1.0
3.9058 0.0000 0.0000
0.0000 3.9058 0.0000
0.0000 0.0000 3.7315
Mn Mo H Pd
2 1 1 1
Direct
0.0000 0.5000 0.0000 Mn
0.5000 0.0000 0.0000 Mn
0.0000 0.0000 0.5000 Mo
0.5000 0.5000 0.0000 H
0.5000 0.5000 0.5000 Pd
```

## Properties
SG   P4/mmm, No. 123
E   -37.269 eV for the cell shown
Size of the total moment   0.57 μB per atom
Density of states at the Fermi level   0.538 states/eV per atom